Below is a relaxed Tb4Sm10Th crystal, with properties calculated at the PBE level.

Formation energy from the elements ... 5.34 eV/f.u.
E ... -67.8 eV per formula unit

abc: 10.575 8.718 8.718
angles: 68.42 52.66 52.66
Last column: magnetic moment on the atom in μB.
Fractional positions:
Sm 0.543 0.326 0.906  -0.01
Sm 0.869 0.906 0.674  -0.01
Sm 0.225 0.326 0.906  -0.01
Sm 0.457 0.674 0.094  -0.01
Sm 0.775 0.674 0.094  -0.01
Tb 0.668 0.272 0.393  0.05
Th 0.000 0.000 0.000  0.23
Sm 0.449 0.094 0.326  -0.01
Sm 0.750 0.500 0.500  -0.01
Tb 0.060 0.607 0.272  0.05
Sm 0.250 0.500 0.500  -0.01
Tb 0.940 0.393 0.728  0.05
Sm 0.131 0.094 0.326  -0.01
Sm 0.551 0.906 0.674  -0.01
Tb 0.332 0.728 0.607  0.05